Entry 1:
## Ta2As (GGA-PBE)

Data for a relaxed structure of Ta2As.

The value obtained for the formation energy is -0.07 eV/atom.

Cell lengths 3.3750, 3.3750, 5.6231 Å; angles 90.00, 90.00, 120.00 degrees
Space group P-3m1 (No. 164)
Symmetry-distinct sites (fractional):
Ta (0.3333, 0.6667, 0.3194) (multiplicity 2)
As (0.0000, 0.0000, 0.0000) (multiplicity 1)

=====

Entry 2:
## ErTmGePd (GGA-PBE)

Data for a relaxed structure of ErTmGePd.

For the distance to the lowest polymorph of the same formula, the calculation gives 0.0779 eV per atom. The value obtained for the formation energy is -0.83 eV/atom.

Cell lengths 7.0101, 7.0101, 7.0101 Å; angles 90.00, 90.00, 90.00 degrees
Space group F-43m (No. 216)
Symmetry-distinct sites (fractional):
Er (0.0000, 0.0000, 0.0000) (multiplicity 4)
Tm (0.0000, 0.0000, 0.5000) (multiplicity 4)
Ge (0.2500, 0.2500, 0.2500) (multiplicity 4)
Pd (0.2500, 0.2500, 0.7500) (multiplicity 4)

=====

Entry 3:
## PmBIr3 (GGA-PBE)

Data for a relaxed structure of PmBIr3.

The value obtained for the formation energy is -0.54 eV/atom.

Cell lengths 4.2732, 4.2732, 4.2732 Å; angles 90.00, 90.00, 90.00 degrees
Space group Pm-3m (No. 221)
Symmetry-distinct sites (fractional):
Pm (0.0000, 0.0000, 0.0000) (multiplicity 1)
B (0.5000, 0.5000, 0.5000) (multiplicity 1)
Ir (0.0000, 0.5000, 0.5000) (multiplicity 3)